Entry 1:
BaAuF2 after structural relaxation. Source: the Alexandria database, functional PBE.

## Properties
The energy above the most stable polymorph in this dataset comes out at 113.7 meV/atom. The calculation puts the density of states at the Fermi level at 3.6 states/eV/cell. As for the total energy: -4.288 eV per atom. The raw formation energy is -2052 meV/atom. Its total moment is 0.65 μB/cell.

Unit cell a=4.7865 b=4.7865 c=4.7865 alpha=60.00 beta=60.00 gamma=60.00
Atoms (fractional coordinates):
Au  0.5000  0.5000  0.5000
Ba  0.0000  0.0000  0.0000
F  0.2500  0.2500  0.2500
F  0.7500  0.7500  0.7500

Entry 2:
BaAu2F12 after structural relaxation. Source: the Alexandria database, functional PBE.

## Properties
As for the total energy: -3.526 eV per atom. The raw formation energy is -1464 meV/atom. Its total moment is 0.00 μB/cell.

Unit cell a=10.6112 b=10.6112 c=10.6112 alpha=90.00 beta=90.00 gamma=90.00
Atoms (fractional coordinates):
Ba  0.5000  0.0000  0.0000
Ba  0.0000  0.0000  0.0000
Ba  0.0000  0.5000  0.0000
Ba  0.0000  0.0000  0.5000
Au  0.2497  0.7503  0.7503
Au  0.7503  0.7503  0.2497
Au  0.2497  0.7503  0.2497
Au  0.7503  0.7503  0.7503
Au  0.7503  0.2497  0.7503
Au  0.7503  0.2497  0.2497
Au  0.2497  0.2497  0.7503
Au  0.2497  0.2497  0.2497
F  0.1244  0.8756  0.3081
F  0.3694  0.1855  0.6306
F  0.1244  0.6919  0.8756
F  0.6306  0.1855  0.6306
F  0.8756  0.1244  0.3081
F  0.8756  0.1244  0.6919
F  0.1855  0.6306  0.3694
F  0.3694  0.6306  0.1855
F  0.8756  0.6919  0.8756
F  0.6919  0.8756  0.1244
F  0.8756  0.3081  0.1244
F  0.3694  0.6306  0.8145
F  0.8145  0.3694  0.3694
F  0.6306  0.6306  0.1855
F  0.1244  0.8756  0.6919
F  0.3081  0.1244  0.1244
F  0.1244  0.1244  0.6919
F  0.3081  0.8756  0.8756
F  0.6919  0.8756  0.8756
F  0.6306  0.8145  0.3694
F  0.6919  0.1244  0.8756
F  0.3694  0.3694  0.8145
F  0.6306  0.1855  0.3694
F  0.1855  0.3694  0.3694
F  0.6306  0.8145  0.6306
F  0.3694  0.8145  0.6306
F  0.8756  0.6919  0.1244
F  0.1244  0.3081  0.8756
F  0.8145  0.6306  0.3694
F  0.3081  0.8756  0.1244
F  0.1244  0.1244  0.3081
F  0.8756  0.8756  0.6919
F  0.3081  0.1244  0.8756
F  0.3694  0.1855  0.3694
F  0.1855  0.3694  0.6306
F  0.6306  0.3694  0.8145
F  0.8756  0.3081  0.8756
F  0.3694  0.3694  0.1855
F  0.8145  0.6306  0.6306
F  0.1855  0.6306  0.6306
F  0.6306  0.6306  0.8145
F  0.8756  0.8756  0.3081
F  0.8145  0.3694  0.6306
F  0.3694  0.8145  0.3694
F  0.1244  0.3081  0.1244
F  0.6306  0.3694  0.1855
F  0.6919  0.1244  0.1244
F  0.1244  0.6919  0.1244

> What is the formula in the first record?

BaAuF2

> Which value of total moment does entry 1 give?

0.65 μB/cell

> The highest raw formation energy belongs to which entry?

BaAu2F12